# Tm2Pd4Rh | the Alexandria database | PBE | optimized geometry
data_Tm2Pd4Rh
_chemical_formula_sum 'Tm8 Pd16 Rh4'
_cell_length_a 9.833
_cell_length_b 5.471
_cell_length_c 9.582
_cell_angle_alpha 90.00
_cell_angle_beta 90.00
_cell_angle_gamma 90.00
_symmetry_space_group_name_H-M 'C m c e'
_symmetry_Int_Tables_number 64
_symmetry_space_group_name_Hall '-C 2ac 2'
loop_
_atom_site_label
_atom_site_fract_x
_atom_site_fract_y
_atom_site_fract_z
Tm1 0.158 0.000 0.000
Pd1 0.000 0.140 0.231
Pd2 0.250 0.158 0.750
Rh1 0.000 0.000 0.500
# E_form = -47.5 kJ/mol of atoms
# Raw total energy = -162.053 eV for the cell shown

---

# BaY3Hg | the Alexandria database | PBE | optimized geometry
data_BaY3Hg
_chemical_formula_sum 'Ba1 Y3 Hg1'
_cell_length_a 5.809
_cell_length_b 5.809
_cell_length_c 5.809
_cell_angle_alpha 90.00
_cell_angle_beta 90.00
_cell_angle_gamma 90.00
_symmetry_space_group_name_H-M 'P m -3 m'
_symmetry_Int_Tables_number 221
_symmetry_space_group_name_Hall '-P 4 2 3'
loop_
_atom_site_label
_atom_site_fract_x
_atom_site_fract_y
_atom_site_fract_z
Ba1 0.000 0.000 0.000
Y1 0.000 0.500 0.500
Hg1 0.500 0.500 0.500
# E_form = 9.1 kJ/mol of atoms
# E above lowest polymorph = 0 kJ/mol of formula units
# Raw total energy = -21.145 eV for the cell shown